Material: Sr10Cu5Mo3W2O30
Method: DFT, PBE with a Hubbard U
State: optimized geometry

Calculated values
**Total DFT energy (no corrections)**: -325.36 eV per cell

POSCAR file:
```
Sr10Cu5Mo3W2O30
1.0
5.436 0.000 0.000
2.717 5.142 0.000
2.715 -1.058 23.069
Sr Cu Mo W O
10 5 3 2 30
Direct
0.050 0.050 0.350
0.150 0.150 0.050
0.250 0.251 0.749
0.350 0.350 0.450
0.450 0.449 0.151
0.550 0.551 0.849
0.650 0.650 0.550
0.750 0.749 0.251
0.850 0.850 0.950
0.950 0.950 0.650
0.100 0.099 0.201
0.300 0.300 0.600
0.500 0.500 0.000
0.700 0.700 0.400
0.900 0.901 0.799
0.000 0.000 0.500
0.400 0.399 0.300
0.600 0.601 0.700
0.200 0.201 0.900
0.800 0.799 0.100
0.022 0.516 0.340
0.067 0.514 0.855
0.075 0.181 0.560
0.126 0.021 0.839
0.135 0.687 0.545
0.179 0.681 0.062
0.222 0.717 0.739
0.265 0.712 0.256
0.275 0.380 0.960
0.324 0.219 0.241
0.333 0.887 0.944
0.378 0.883 0.461
0.421 0.917 0.139
0.465 0.913 0.655
0.475 0.581 0.360
0.525 0.419 0.640
0.535 0.087 0.345
0.579 0.083 0.861
0.622 0.117 0.539
0.667 0.113 0.056
0.676 0.781 0.759
0.725 0.620 0.040
0.735 0.288 0.744
0.778 0.283 0.261
0.821 0.319 0.938
0.865 0.313 0.455
0.874 0.979 0.161
0.925 0.819 0.440
0.933 0.486 0.145
0.978 0.484 0.660
```